(1)
Compound: RbTiCu2Hg
Source: the Alexandria database
Functional: PBE
Structure: relaxed

DOS at the Fermi energy: 1.39 states/eV/atom
Raw total energy: -2.171 eV/atom
DFT formation energy: 1.2999 eV/atom
Crystal system: tetragonal
Magnetization: 0.03 μB/f.u.

Unit cell a=5.0733 b=5.9068 c=5.0733 alpha=90.00 beta=90.00 gamma=90.00
Closest atoms and distances in Å follow each position.
Sites, in units of the cell vectors:
Rb (0.0000, 0.5000, 0.0000)  2 Hg 2.95
Cu (0.0000, 0.0000, 0.5000)  2 Hg 2.54
Cu (0.5000, 0.0000, 0.0000)  2 Hg 2.54
Hg (0.0000, 0.0000, 0.0000)  4 Cu 2.54
Ti (0.5000, 0.5000, 0.5000)  4 Rb 3.59, 8 Cu 3.89

=====

(2)
Compound: Pm7Pr4Sm
Source: the Alexandria database
Functional: PBE
Structure: relaxed

DOS at the Fermi energy: 1.58 states/eV/atom
Raw total energy: -4.555 eV/atom
DFT formation energy: 0.2022 eV/atom
Crystal system: monoclinic
Polymorph energy (0 for the lowest one): 188 meV/atom
Magnetization: 0.46 μB/f.u.

Unit cell a=6.0953 b=9.9043 c=8.7998 alpha=60.37 beta=69.74 gamma=72.08
Closest atoms and distances in Å follow each position.
Sites, in units of the cell vectors:
Pr (0.3265, 0.3883, 0.9587)  7 Pm 3.31-3.64
Pm (0.0810, 0.5627, 0.2752)  3 Pm 3.37-3.74, 3 Pr 3.53-3.64, 1 Sm 3.74
Pm (0.5000, 0.0000, 0.0000)  2 Sm 3.05
Pm (0.2122, 0.1234, 0.4521)  5 Pm 3.32-3.70
Pr (0.6735, 0.6117, 0.0413)  7 Pm 3.31-3.64
Pm (0.7878, 0.8766, 0.5479)  5 Pm 3.32-3.70
Pr (0.4247, 0.7009, 0.4496)  4 Pm 3.34-3.72, 1 Pr 3.51
Pm (0.2072, 0.7762, 0.8094)  1 Sm 3.13, 2 Pr 3.31-3.34, 2 Pm 3.32-3.48
Pm (0.9190, 0.4373, 0.7248)  3 Pm 3.37-3.74, 3 Pr 3.53-3.64, 1 Sm 3.74
Pm (0.7928, 0.2238, 0.1906)  1 Sm 3.13, 2 Pr 3.31-3.34, 2 Pm 3.32-3.48
Sm (0.0000, 0.0000, 0.0000)  4 Pm 3.05-3.13
Pr (0.5753, 0.2991, 0.5504)  4 Pm 3.34-3.72, 1 Pr 3.51

=====

(3)
Compound: HfTcAs
Source: the Alexandria database
Functional: PBE
Structure: relaxed

DOS at the Fermi energy: 0.55 states/eV/atom
Raw total energy: -8.942 eV/atom
DFT formation energy: -0.6194 eV/atom
Crystal system: orthorhombic
Polymorph energy (0 for the lowest one): 131 meV/atom
Magnetization: 0.00 μB/f.u.

Unit cell a=3.8631 b=9.7058 c=5.3977 alpha=90.00 beta=90.00 gamma=90.00
Closest atoms and distances in Å follow each position.
Sites, in units of the cell vectors:
As (0.0000, 0.8945, 0.7500)  4 Tc 2.57, 4 Hf 2.74-2.83
Tc (0.0000, 0.5000, 0.5000)  4 As 2.57, 2 Tc 2.70
Tc (0.0000, 0.5000, 0.0000)  4 As 2.57, 2 Tc 2.70
Hf (0.5000, 0.6949, 0.7500)  5 As 2.74-2.92, 4 Tc 3.02
Tc (0.5000, 0.0000, 0.5000)  4 As 2.57, 2 Tc 2.70
Tc (0.5000, 0.0000, 0.0000)  4 As 2.57, 2 Tc 2.70
As (0.5000, 0.3945, 0.7500)  4 Tc 2.57, 4 Hf 2.74-2.83
As (0.0000, 0.1055, 0.2500)  4 Tc 2.57, 4 Hf 2.74-2.83
Hf (0.0000, 0.1949, 0.7500)  5 As 2.74-2.92, 4 Tc 3.02
As (0.5000, 0.6055, 0.2500)  4 Tc 2.57, 4 Hf 2.74-2.83
Hf (0.5000, 0.3051, 0.2500)  5 As 2.74-2.92, 4 Tc 3.02
Hf (0.0000, 0.8051, 0.2500)  5 As 2.74-2.92, 4 Tc 3.02

=====

(4)
Compound: Ca2ThIr9
Source: the Alexandria database
Functional: PBE
Structure: relaxed

DOS at the Fermi energy: 1.01 states/eV/atom
Raw total energy: -8.035 eV/atom
DFT formation energy: -0.4371 eV/atom
Crystal system: trigonal
Magnetization: 0.00 μB/f.u.

Unit cell a=5.3479 b=5.3479 c=9.3099 alpha=73.31 beta=73.31 gamma=60.00
Closest atoms and distances in Å follow each position.
Sites, in units of the cell vectors:
Ir (0.5000, 0.5000, 0.5000)  6 Ir 2.71
Ir (0.5810, 0.5810, 0.7544)  7 Ir 2.64-2.71
Ca (0.1421, 0.1421, 0.5736)  12 Ir 3.11-3.27, 3 Ca 3.35
Ir (0.4190, 0.9163, 0.2456)  7 Ir 2.64-2.71
Ir (0.3327, 0.3327, 0.0020)  6 Ir 2.64-2.66
Ca (0.8579, 0.8579, 0.4264)  12 Ir 3.11-3.27, 3 Ca 3.35
Ir (0.0837, 0.5810, 0.7544)  7 Ir 2.64-2.71
Th (0.0000, 0.0000, 0.0000)  18 Ir 3.09-3.44
Ir (0.9163, 0.4190, 0.2456)  7 Ir 2.64-2.71
Ir (0.4190, 0.4190, 0.2456)  7 Ir 2.64-2.71
Ir (0.6673, 0.6673, 0.9980)  6 Ir 2.64-2.66
Ir (0.5810, 0.0837, 0.7544)  7 Ir 2.64-2.71

=====

(5)
Compound: TcHgOs2
Source: the Alexandria database
Functional: PBE
Structure: relaxed

DOS at the Fermi energy: 1.19 states/eV/atom
Raw total energy: -7.690 eV/atom
DFT formation energy: 0.5914 eV/atom
Crystal system: monoclinic
Magnetization: 0.00 μB/f.u.

Unit cell a=4.8889 b=4.8889 c=4.8941 alpha=80.22 beta=80.22 gamma=33.47
Closest atoms and distances in Å follow each position.
Sites, in units of the cell vectors:
Hg (0.7500, 0.7500, 0.7500)  6 Os 2.80-2.97, 2 Hg 2.82, 4 Tc 2.82
Tc (0.2500, 0.2500, 0.2500)  6 Os 2.67-2.87, 2 Tc 2.82, 4 Hg 2.82
Os (0.9852, 0.9852, 0.0308)  4 Os 2.62-2.82, 3 Tc 2.67-2.87, 1 Hg 2.80
Os (0.5148, 0.5148, 0.4692)  4 Os 2.62-2.82, 3 Tc 2.67-2.87, 1 Hg 2.80

=====

(6)
Compound: Ba2AcAs2O6
Source: the Alexandria database
Functional: PBE
Structure: relaxed

DOS at the Fermi energy: 0.40 states/eV/atom
Raw total energy: -6.466 eV/atom
E_form (uncorrected): -2193 meV per atom
Crystal system: trigonal
Magnetization: 0.00 μB/f.u.

Unit cell a=5.8106 b=5.8130 c=7.5323 alpha=112.73 beta=90.00 gamma=119.99
Closest atoms and distances in Å follow each position.
Sites, in units of the cell vectors:
Ba (0.2925, 0.5850, 0.8774)  9 O 2.88-2.98
O (0.2332, 0.9849, 0.2175)  1 As 1.81
Ac (0.5000, 0.0000, 0.5000)  6 O 2.58
Ba (0.7075, 0.4150, 0.1226)  9 O 2.88-2.98
As (0.8865, 0.7731, 0.6596)  3 O 1.81
O (0.2329, 0.4658, 0.2176)  1 As 1.81
O (0.7518, 0.9849, 0.2175)  1 As 1.81
O (0.7671, 0.5342, 0.7824)  1 As 1.81
O (0.7668, 0.0151, 0.7825)  1 As 1.81
O (0.2482, 0.0151, 0.7825)  1 As 1.81
As (0.1135, 0.2269, 0.3404)  3 O 1.81

=====

(7)
Compound: TbMnCo10
Source: the Alexandria database
Functional: PBE
Structure: relaxed

DOS at the Fermi energy: 1.26 states/eV/atom
Raw total energy: -7.007 eV/atom
DFT formation energy: 0.0646 eV/atom
Crystal system: orthorhombic
Magnetization: 19.97 μB/f.u.

Unit cell a=4.0155 b=4.7549 c=8.3526 alpha=90.00 beta=90.00 gamma=90.00
Closest atoms and distances in Å follow each position.
Sites, in units of the cell vectors:
Co (0.0000, 0.5000, 0.8002)  6 Co 2.37-2.61, 1 Mn 2.51
Co (0.0000, 0.0000, 0.3472)  7 Co 2.38-2.55
Mn (0.0000, 0.5000, 0.5000)  6 Co 2.51-2.70
Co (0.0000, 0.5000, 0.1998)  6 Co 2.37-2.61, 1 Mn 2.51
Co (0.5000, 0.7481, 0.7453)  8 Co 2.36-2.46
Co (0.5000, 0.5000, 0.0000)  8 Co 2.43-2.61
Co (0.5000, 0.2519, 0.2547)  8 Co 2.36-2.46
Co (0.0000, 0.0000, 0.6528)  7 Co 2.38-2.55
Co (0.5000, 0.7481, 0.2547)  8 Co 2.36-2.46
Co (0.5000, 0.2519, 0.7453)  8 Co 2.36-2.46
Tb (0.0000, 0.0000, 0.0000)  18 Co 2.90-3.16
Co (0.5000, 0.0000, 0.5000)  8 Co 2.37-2.38

=====

(8)
Compound: K2MgCo
Source: the Alexandria database
Functional: PBE
Structure: relaxed

DOS at the Fermi energy: 2.13 states/eV/atom
Raw total energy: -1.917 eV/atom
DFT formation energy: 0.8065 eV/atom
Crystal system: tetragonal
Magnetization: 1.33 μB/f.u.

Unit cell a=5.5441 b=5.5441 c=5.5441 alpha=118.89 beta=118.89 gamma=91.94
Closest atoms and distances in Å follow each position.
Sites, in units of the cell vectors:
Mg (0.5000, 0.5000, 0.0000)  4 K 3.41, 4 Co 3.41
Co (0.7500, 0.2500, 0.5000)  4 Mg 3.41, 4 K 3.41
K (0.2500, 0.7500, 0.5000)  4 K 3.41, 4 Mg 3.41
K (0.0000, 0.0000, 0.0000)  4 K 3.41, 4 Co 3.41

=====

(9)
Compound: ThSi2Ir2Pd
Source: the Alexandria database
Functional: PBE
Structure: relaxed

DOS at the Fermi energy: 0.61 states/eV/atom
Raw total energy: -7.768 eV/atom
E_form (uncorrected): -905 meV per atom
Crystal system: trigonal
Magnetization: 0.00 μB/f.u.

Unit cell a=4.2234 b=4.2234 c=6.7597 alpha=90.00 beta=90.00 gamma=120.00
Closest atoms and distances in Å follow each position.
Sites, in units of the cell vectors:
Ir (0.3333, 0.6667, 0.7092)  4 Si 2.45-2.58
Si (0.3333, 0.6667, 0.3273)  4 Ir 2.45-2.58, 3 Pd 2.70
Si (0.6667, 0.3333, 0.6727)  4 Ir 2.45-2.58, 3 Pd 2.70
Ir (0.6667, 0.3333, 0.2908)  4 Si 2.45-2.58
Th (0.0000, 0.0000, 0.0000)  6 Ir 3.13, 6 Si 3.29, 2 Pd 3.38
Pd (0.0000, 0.0000, 0.5000)  6 Si 2.70, 6 Ir 2.82

=====

(10)
Compound: Y2TlCoTe
Source: the Alexandria database
Functional: PBE
Structure: relaxed

DOS at the Fermi energy: 1.15 states/eV/atom
Raw total energy: -4.811 eV/atom
E_form (uncorrected): 298 meV per atom
Crystal system: tetragonal
Magnetization: 1.83 μB/f.u.

Unit cell a=5.7221 b=4.7718 c=5.7221 alpha=90.00 beta=90.00 gamma=90.00
Closest atoms and distances in Å follow each position.
Sites, in units of the cell vectors:
Te (0.5000, 0.5000, 0.5000)  8 Y 3.73, 4 Co 4.05
Co (0.0000, 0.5000, 0.0000)  2 Tl 2.39
Y (0.5000, 0.0000, 0.0000)  2 Tl 2.86
Tl (0.0000, 0.0000, 0.0000)  2 Co 2.39
Y (0.0000, 0.0000, 0.5000)  2 Tl 2.86

=====

(11)
Compound: EuTaN
Source: the Alexandria database
Functional: PBE
Structure: relaxed

DOS at the Fermi energy: 0.86 states/eV/atom
Raw total energy: -10.504 eV/atom
E_form (uncorrected): -353 meV per atom
Crystal system: tetragonal
Magnetization: 7.50 μB/f.u.

Unit cell a=3.0283 b=3.0283 c=6.5194 alpha=103.43 beta=103.43 gamma=90.00
Closest atoms and distances in Å follow each position.
Sites, in units of the cell vectors:
N (0.7570, 0.7570, 0.5140)  4 Ta 2.14
Eu (0.9770, 0.9770, 0.9541)  1 N 2.71, 4 Eu 3.03
Ta (0.2660, 0.2660, 0.5320)  4 N 2.14

=====

(12)
Compound: HfAg3Au6
Source: the Alexandria database
Functional: PBE
Structure: relaxed

DOS at the Fermi energy: 0.30 states/eV/atom
Raw total energy: -3.990 eV/atom
DFT formation energy: -0.1727 eV/atom
Crystal system: monoclinic
Magnetization: 0.00 μB/f.u.

Unit cell a=4.2925 b=9.0296 c=9.5013 alpha=93.61 beta=90.00 gamma=90.00
Closest atoms and distances in Å follow each position.
Sites, in units of the cell vectors:
Ag (0.7500, 0.2509, 0.9913)  10 Au 2.84-3.05, 2 Ag 2.97
Ag (0.7500, 0.4489, 0.5984)  8 Au 2.90-3.02, 4 Ag 3.03-3.07
Hf (0.2500, 0.9363, 0.6178)  10 Au 2.81-3.03
Au (0.2500, 0.6407, 0.7050)  1 Hf 2.84, 5 Ag 2.90-2.99, 6 Au 2.93-3.13
Au (0.7500, 0.8412, 0.8042)  8 Au 2.88-2.96, 2 Hf 2.94, 2 Ag 3.05
Au (0.2500, 0.8636, 0.3145)  3 Hf 2.85-2.92, 5 Au 2.96-3.12, 4 Ag 2.99-3.02
Au (0.2500, 0.2395, 0.4988)  3 Hf 2.85-3.03, 5 Au 2.93-3.13, 4 Ag 2.94-3.02
Ag (0.2500, 0.7491, 0.0087)  10 Au 2.84-3.05, 2 Ag 2.97
Au (0.2500, 0.4552, 0.0993)  7 Ag 2.84-2.97, 5 Au 2.88-3.00
Au (0.7500, 0.1364, 0.6855)  3 Hf 2.85-2.92, 5 Au 2.96-3.12, 4 Ag 2.99-3.02
Au (0.7500, 0.7605, 0.5012)  3 Hf 2.85-3.03, 5 Au 2.93-3.13, 4 Ag 2.94-3.02
Ag (0.2500, 0.5511, 0.4016)  8 Au 2.90-3.02, 4 Ag 3.03-3.07
Hf (0.7500, 0.0637, 0.3822)  10 Au 2.81-3.03
Au (0.7500, 0.3593, 0.2950)  1 Hf 2.84, 5 Ag 2.90-2.99, 6 Au 2.93-3.13
Au (0.7500, 0.9559, 0.0985)  1 Hf 2.81, 4 Ag 2.91-2.94, 7 Au 2.92-3.12
Au (0.2500, 0.1588, 0.1958)  8 Au 2.88-2.96, 2 Hf 2.94, 2 Ag 3.05
Au (0.2500, 0.0441, 0.9015)  1 Hf 2.81, 4 Ag 2.91-2.94, 7 Au 2.92-3.12
Ag (0.2500, 0.3413, 0.7992)  8 Au 2.90-2.99, 4 Ag 2.97-3.07
Au (0.7500, 0.5448, 0.9007)  7 Ag 2.84-2.97, 5 Au 2.88-3.00
Ag (0.7500, 0.6587, 0.2008)  8 Au 2.90-2.99, 4 Ag 2.97-3.07

=====

What is the formula in the second record?
Pm7Pr4Sm

=====

Which of these has the highest DOS at the Fermi energy?
K2MgCo